Model A:
## BaAc2Y (GGA-PBE)

Data for a relaxed structure of BaAc2Y.

Lattice parameters (Å, degrees): 8.925 8.925 8.925 90.00 90.00 90.00
Fractional positions:
1 Ba 0.000 0.000 0.000
2 Ba 0.000 0.500 0.500
3 Ba 0.500 0.000 0.500
4 Ba 0.500 0.500 0.000
5 Ac 0.250 0.250 0.250
6 Ac 0.250 0.250 0.750
7 Ac 0.250 0.750 0.250
8 Ac 0.250 0.750 0.750
9 Ac 0.750 0.250 0.250
10 Ac 0.750 0.250 0.750
11 Ac 0.750 0.750 0.250
12 Ac 0.750 0.750 0.750
13 Y 0.000 0.000 0.500
14 Y 0.000 0.500 0.000
15 Y 0.500 0.000 0.000
16 Y 0.500 0.500 0.500

Results
The value obtained for the density of states at the Fermi level is 2.043 states/eV per atom. As for the space group: Fm-3m (225).

Model B:
## BaAc2Y (GGA-PBE)

Data for a relaxed structure of BaAc2Y.

Lattice parameters (Å, degrees): 5.584 5.584 5.592 90.00 90.00 90.00
Fractional positions:
1 Ba 0.000 0.000 0.000
2 Ac 0.000 0.500 0.500
3 Ac 0.500 0.000 0.500
4 Y 0.500 0.500 0.000

Results
The value obtained for the density of states at the Fermi level is 1.793 states/eV per atom. As for the space group: P4/mmm (123).

Model C:
## BaAc2Y (GGA-PBE)

Data for a relaxed structure of BaAc2Y.

Lattice parameters (Å, degrees): 3.954 3.954 39.141 90.00 90.00 120.00
Fractional positions:
1 Ba 0.000 0.000 0.000
2 Ba 0.333 0.667 0.667
3 Ba 0.667 0.333 0.333
4 Ac 0.000 0.000 0.425
5 Ac 0.000 0.000 0.576
6 Ac 0.333 0.667 0.092
7 Ac 0.333 0.667 0.243
8 Ac 0.667 0.333 0.759
9 Ac 0.667 0.333 0.909
10 Y 0.000 0.000 0.167
11 Y 0.333 0.667 0.834
12 Y 0.667 0.333 0.501

Results
The value obtained for the density of states at the Fermi level is 1.673 states/eV per atom. As for the space group: R3m (160).

Model D:
## BaAc2Y (GGA-PBE)

Data for a relaxed structure of BaAc2Y.

Lattice parameters (Å, degrees): 3.891 3.891 41.290 90.00 90.00 120.00
Fractional positions:
1 Ba 0.000 0.000 0.000
2 Ba 0.333 0.667 0.667
3 Ba 0.667 0.333 0.333
4 Ac 0.000 0.000 0.094
5 Ac 0.000 0.000 0.906
6 Ac 0.333 0.667 0.572
7 Ac 0.333 0.667 0.761
8 Ac 0.667 0.333 0.239
9 Ac 0.667 0.333 0.428
10 Y 0.000 0.000 0.500
11 Y 0.333 0.667 0.167
12 Y 0.667 0.333 0.833

Results
The value obtained for the density of states at the Fermi level is 1.525 states/eV per atom. As for the space group: R-3m (166).

Computed energies relative to the best structure, in kJ/mol of atoms: model A 11.5; model B 6.5; model C 0.0; model D 8.2

Model A:
## BaAcY (GGA-PBE)

Data for a relaxed structure of BaAcY.

Lattice parameters (Å, degrees): 3.946 3.946 9.757 90.00 90.00 120.00
Fractional positions:
1 Ba 0.000 0.000 0.000
2 Ac 0.333 0.667 0.632
3 Y 0.667 0.333 0.335

Results
The value obtained for the density of states at the Fermi level is 1.721 states/eV per atom. As for the space group: P3m1 (156).

Model B:
## BaAcY (GGA-PBE)

Data for a relaxed structure of BaAcY.

Lattice parameters (Å, degrees): 3.974 3.974 16.891 90.00 90.00 90.00
Fractional positions:
1 Ba 0.000 0.000 0.000
2 Ba 0.500 0.500 0.500
3 Ac 0.000 0.000 0.314
4 Ac 0.500 0.500 0.814
5 Y 0.000 0.000 0.672
6 Y 0.500 0.500 0.172

Results
The value obtained for the density of states at the Fermi level is 1.734 states/eV per atom. As for the space group: I4mm (107).

Computed energies relative to the best structure, in kJ/mol of atoms: model A 0.7; model B 0.0

Model A:
## BaAc4Y (GGA-PBE)

Data for a relaxed structure of BaAc4Y.

Lattice parameters (Å, degrees): 7.380 7.380 7.380 60.00 60.00 60.00
Fractional positions:
1 Ba 0.000 0.000 0.000
2 Ac 0.377 0.377 0.377
3 Ac 0.377 0.377 0.868
4 Ac 0.377 0.868 0.377
5 Ac 0.868 0.377 0.377
6 Y 0.750 0.750 0.750

Results
The value obtained for the density of states at the Fermi level is 1.493 states/eV per atom. As for the space group: F-43m (216).

Model B:
## BaAc4Y (GGA-PBE)

Data for a relaxed structure of BaAc4Y.

Lattice parameters (Å, degrees): 4.010 4.010 16.737 90.00 90.00 90.00
Fractional positions:
1 Ba 0.000 0.000 0.000
2 Ac 0.000 0.000 0.353
3 Ac 0.000 0.000 0.647
4 Ac 0.500 0.500 0.192
5 Ac 0.500 0.500 0.808
6 Y 0.500 0.500 0.500

Results
The value obtained for the density of states at the Fermi level is 1.692 states/eV per atom. As for the space group: P4/mmm (123).

Computed energies relative to the best structure, in kJ/mol of atoms: model A 22.3; model B 0.0

Model A:
## Ba2AcZn (GGA-PBE)

Data for a relaxed structure of Ba2AcZn.

Lattice parameters (Å, degrees): 6.348 6.348 4.340 90.00 90.00 90.00
Fractional positions:
1 Ba 0.000 0.500 0.000
2 Ba 0.500 0.000 0.000
3 Ac 0.000 0.000 0.500
4 Zn 0.500 0.500 0.500

Results
The value obtained for the density of states at the Fermi level is 1.346 states/eV per atom. As for the space group: P4/mmm (123).

Model B:
## Ba2AcZn (GGA-PBE)

Data for a relaxed structure of Ba2AcZn.

Lattice parameters (Å, degrees): 4.086 4.086 38.414 90.00 90.00 120.00
Fractional positions:
1 Ba 0.000 0.000 0.104
2 Ba 0.000 0.000 0.896
3 Ba 0.333 0.667 0.563
4 Ba 0.333 0.667 0.770
5 Ba 0.667 0.333 0.230
6 Ba 0.667 0.333 0.437
7 Ac 0.000 0.000 0.000
8 Ac 0.333 0.667 0.667
9 Ac 0.667 0.333 0.333
10 Zn 0.000 0.000 0.500
11 Zn 0.333 0.667 0.167
12 Zn 0.667 0.333 0.833

Results
The value obtained for the density of states at the Fermi level is 1.495 states/eV per atom. As for the space group: R-3m (166).

Computed energies relative to the best structure, in kJ/mol of atoms: model A 0.0; model B 3.2